## La2TeAu (meta-GGA SCAN)

Data for La2TeAu at its PBEsol-relaxed geometry.

The value obtained for the total energy is -49.465 eV per atom. For the density of states at the Fermi level, the calculation gives 1.146 states/eV per atom. The calculated volume is 124 Å³/cell. The formation energy (no corrections) comes out at -1.31 eV per atom.

The structure belongs to space group P4/mmm (No. 123); the cell edges are 4.416, 4.416 and 6.363 Å and the angles 90.00°, 90.00° and 90.00°. Symmetry generates all atoms from La at (0.000, 0.000, 0.000), La at (0.500, 0.500, 0.500), Te at (0.000, 0.000, 0.500) and Au at (0.500, 0.500, 0.000).